Here is a relaxed structure of Ca3La from the Alexandria database. Energies are from PBE.

For the mass density, the calculation gives 2.66 Mg/m³. The electronic total energy comes out at -2.662 eV/atom. Its energy relative to the lowest polymorph listed for this composition is 0.057 eV per atom.

The structure belongs to space group P4/mmm (No. 123); the cell edges are 4.3278, 4.3278 and 8.6235 Å and the angles 90.00°, 90.00° and 90.00°. Symmetry generates all atoms from Ca at (0.0000, 0.0000, 0.0000), Ca at (0.5000, 0.5000, 0.2525) and La at (0.0000, 0.0000, 0.5000).

---

Here is a relaxed structure of CaLa from the Alexandria database. Energies are from PBE.

For the mass density, the calculation gives 2.66 Mg/m³. The electronic total energy comes out at -1.894 eV/atom. Its energy relative to the lowest polymorph listed for this composition is 1.550 eV per atom.

The structure belongs to space group F-43m (No. 216); the cell edges are 7.6421, 7.6421 and 7.6421 Å and the angles 90.00°, 90.00° and 90.00°. Symmetry generates all atoms from Ca at (0.0000, 0.0000, 0.0000) and La at (0.2500, 0.2500, 0.7500).

---

Here is a relaxed structure of Ca3La4 from the Alexandria database. Energies are from PBE.

For the mass density, the calculation gives 4.09 Mg/m³. The electronic total energy comes out at -3.650 eV/atom. Its energy relative to the lowest polymorph listed for this composition is 0.000 eV per atom.

The structure belongs to space group I4/mmm (No. 139); the cell edges are 3.7985, 3.7985 and 38.0558 Å and the angles 90.00°, 90.00° and 90.00°. Symmetry generates all atoms from Ca at (0.0000, 0.0000, 0.0000), Ca at (0.0000, 0.0000, 0.2879), La at (0.0000, 0.0000, 0.1381) and La at (0.0000, 0.0000, 0.4257).

---

Here is a relaxed structure of CaLa7 from the Alexandria database. Energies are from PBE.

For the mass density, the calculation gives 5.65 Mg/m³. The electronic total energy comes out at -4.544 eV/atom.

The structure belongs to space group Fm-3m (No. 225); the cell edges are 10.5970, 10.5970 and 10.5970 Å and the angles 90.00°, 90.00° and 90.00°. Symmetry generates all atoms from Ca at (0.0000, 0.0000, 0.0000), La at (0.0000, 0.0000, 0.5000) and La at (0.0000, 0.2500, 0.2500).

---

Here is a relaxed structure of Ca7La6 from the Alexandria database. Energies are from PBE.

For the mass density, the calculation gives 3.44 Mg/m³. The electronic total energy comes out at -3.112 eV/atom.

The structure belongs to space group R-3m (No. 166, hexagonal axes); the cell edges are 6.9736, 6.9736 and 38.2552 Å and the angles 90.00°, 90.00° and 120.00°. Symmetry generates all atoms from Ca at (0.0000, 0.0000, 0.0000), Ca at (0.0048, 0.5024, 0.4115), La at (0.0000, 0.0000, 0.1659), La at (0.0000, 0.0000, 0.3503) and La at (0.0000, 0.0000, 0.4597).

---

Here is a relaxed structure of CaLa from the Alexandria database. Energies are from PBE.

For the mass density, the calculation gives 1.77 Mg/m³. The electronic total energy comes out at -2.450 eV/atom. Its energy relative to the lowest polymorph listed for this composition is 0.994 eV per atom.

The structure belongs to space group I-43m (No. 217); the cell edges are 11.0287, 11.0287 and 11.0287 Å and the angles 90.00°, 90.00° and 90.00°. Symmetry generates all atoms from Ca at (0.2039, 0.2039, 0.2039) and La at (0.1009, 0.1009, 0.8991).

---

Here is a relaxed structure of LiCaLa2 from the Alexandria database. Energies are from PBE.

For the mass density, the calculation gives 3.88 Mg/m³. The electronic total energy comes out at -3.282 eV/atom. Its energy relative to the lowest polymorph listed for this composition is 0.109 eV per atom.

The structure belongs to space group I4/mmm (No. 139); the cell edges are 4.8849, 4.8849 and 11.6527 Å and the angles 90.00°, 90.00° and 90.00°. Symmetry generates all atoms from Li at (0.0000, 0.0000, 0.0000), Ca at (0.0000, 0.0000, 0.5000) and La at (0.0000, 0.5000, 0.2500).

---

Here is a relaxed structure of Li2CaLa from the Alexandria database. Energies are from PBE.

For the mass density, the calculation gives 2.53 Mg/m³. The electronic total energy comes out at -2.514 eV/atom. Its energy relative to the lowest polymorph listed for this composition is 0.109 eV per atom.

The structure belongs to space group C2/m (No. 12); the cell edges are 11.1661, 3.5094 and 6.5256 Å and the angles 90.00°, 97.80° and 90.00°. Symmetry generates all atoms from Li at (0.2500, 0.0000, 0.2464), Ca at (0.0000, 0.5000, 0.0000) and La at (0.0000, 0.0000, 0.5000).

---

Here is a relaxed structure of LiCa4La from the Alexandria database. Energies are from PBE.

For the mass density, the calculation gives 2.02 Mg/m³. The electronic total energy comes out at -2.180 eV/atom.

The structure belongs to space group F-43m (No. 216); the cell edges are 10.0220, 10.0220 and 10.0220 Å and the angles 90.00°, 90.00° and 90.00°. Symmetry generates all atoms from Li at (0.0000, 0.0000, 0.0000), Ca at (0.1243, 0.1243, 0.6243) and La at (0.2500, 0.2500, 0.2500).

---

Here is a relaxed structure of LiCaLa2 from the Alexandria database. Energies are from PBE.

For the mass density, the calculation gives 3.96 Mg/m³. The electronic total energy comes out at -3.343 eV/atom. Its energy relative to the lowest polymorph listed for this composition is 0.048 eV per atom.

The structure belongs to space group Pm (No. 6); the cell edges are 3.6689, 4.9576 and 7.5043 Å and the angles 90.00°, 93.30° and 90.00°. Symmetry generates all atoms from Li at (0.0000, 0.0000, 0.0000), Ca at (0.4817, 0.5000, 0.2431), La at (0.0137, 0.0000, 0.5498) and La at (0.5263, 0.5000, 0.7464).

---

Here is a relaxed structure of LiCaLa2 from the Alexandria database. Energies are from PBE.

For the mass density, the calculation gives 3.88 Mg/m³. The electronic total energy comes out at -3.285 eV/atom. Its energy relative to the lowest polymorph listed for this composition is 0.105 eV per atom.

The structure belongs to space group P4/mmm (No. 123); the cell edges are 4.9012, 4.9012 and 5.7859 Å and the angles 90.00°, 90.00° and 90.00°. Symmetry generates all atoms from Li at (0.0000, 0.0000, 0.0000), Ca at (0.5000, 0.5000, 0.0000) and La at (0.0000, 0.5000, 0.5000).

---

Here is a relaxed structure of LiCaLa14 from the Alexandria database. Energies are from PBE.

For the mass density, the calculation gives 5.73 Mg/m³. The electronic total energy comes out at -4.506 eV/atom.

The structure belongs to space group P4/mmm (No. 123); the cell edges are 7.4340, 7.4340 and 10.4469 Å and the angles 90.00°, 90.00° and 90.00°. Symmetry generates all atoms from Li at (0.0000, 0.0000, 0.0000), Ca at (0.5000, 0.5000, 0.0000), La at (0.0000, 0.0000, 0.5000), La at (0.0000, 0.5000, 0.0000), La at (0.0000, 0.5000, 0.5000), La at (0.2448, 0.2448, 0.2516) and La at (0.5000, 0.5000, 0.5000).